DFT (PBE) results for an optimized crystal structure of Zn2InCl.

Geometry as POSCAR:
```
Zn2InCl
1.0
5.1374 0.0000 0.0000
2.5687 4.4491 0.0000
2.5687 1.4830 4.1947
In Zn Cl
1 2 1
Cartesian
7.7061 4.4491 3.1460
0.0000 0.0000 0.0000
2.5687 1.4830 1.0487
5.1374 2.9661 2.0973
```

Calculated values
distance to the lowest polymorph of the same formula	17.7	kJ/mol of atoms
electronic total energy	-1.80	eV per atom
total magnetization	0.00	μB/cell
raw formation energy	-0.017	eV/atom
symmetry	F-43m

***

DFT (PBE) results for an optimized crystal structure of Na2HoTl9.

Geometry as POSCAR:
```
Na2HoTl9
1.0
4.8099 0.0000 0.0000
0.0000 4.8099 0.0000
0.0000 0.0000 14.6584
Tl Na Ho
9 2 1
Cartesian
2.4050 0.0000 7.3292
2.4050 0.0000 12.2741
0.0000 2.4050 7.3292
0.0000 2.4050 12.2741
2.4050 2.4050 0.0000
0.0000 2.4050 2.3843
2.4050 2.4050 9.8317
2.4050 0.0000 2.3843
2.4050 2.4050 4.8267
0.0000 0.0000 4.7758
0.0000 0.0000 9.8826
0.0000 0.0000 0.0000
```

Calculated values
formation energy from the elements	-1.17	eV per formula unit
electronic total energy	-2.47	eV per atom
total magnetization	0.00	μB/cell
symmetry	P4/mmm

***

DFT (PBE) results for an optimized crystal structure of Zr2WAu2.

Geometry as POSCAR:
```
Zr2WAu2
1.0
7.3632 0.0000 0.0000
0.0000 7.3632 0.0000
0.0000 0.0000 3.7784
W Au Zr
2 4 4
Cartesian
3.6816 3.6816 0.0000
0.0000 0.0000 0.0000
2.6562 1.0255 1.8892
1.0255 4.7071 1.8892
6.3378 2.6562 1.8892
4.7071 6.3378 1.8892
6.1745 4.8703 0.0000
4.8703 1.1887 0.0000
1.1887 2.4929 0.0000
2.4929 6.1745 0.0000
```

Calculated values
formation energy from the elements	0.89	eV per formula unit
distance to the lowest polymorph of the same formula	0.0	kJ/mol of atoms
electronic total energy	-7.14	eV per atom
total magnetization	0.00	μB/cell
symmetry	P4/mbm

***

DFT (PBE) results for an optimized crystal structure of NiIr.

Geometry as POSCAR:
```
NiIr
1.0
-2.7439 1.6599 -1.7966
-1.4154 -3.1359 3.0250
-1.2007 1.4383 3.1626
Ni Ir
2 2
Cartesian
-1.6939 -0.7934 1.8540
-1.9723 1.5491 0.6830
0.0000 0.0000 0.0000
-3.6661 0.7557 2.5370
```

Calculated values
formation energy from the elements	-0.07	eV per formula unit
electronic total energy	-7.35	eV per atom
total magnetization	0.00	μB/cell
symmetry	I4_1/amd